{
  "formula": "Sr3NbV2O9",
  "functional": "PBE with a Hubbard U",
  "state": "optimized geometry",
  "lattice_angstrom": [[-0.528, -1.541, -5.406], [-3.645, -1.931, 3.854], [-4.075, 5.410, -1.144]],
  "species": ["Sr", "Sr", "Sr", "Nb", "V", "V", "O", "O", "O", "O", "O", "O", "O", "O", "O"],
  "frac_coords": [[0.333, 0.667, 0.675], [0.000, 0.000, 0.000], [0.667, 0.333, 0.325], [0.000, 0.000, 0.500], [0.333, 0.667, 0.157], [0.667, 0.333, 0.843], [0.833, 0.167, 0.669], [0.833, 0.665, 0.669], [0.335, 0.167, 0.669], [0.665, 0.833, 0.331], [0.167, 0.335, 0.331], [0.167, 0.833, 0.331], [0.500, 0.000, 0.000], [0.000, 0.500, 0.000], [0.500, 0.500, 0.000]],
  "energy_ev_per_atom": -7.606,
  "density_g_cm3": 5.27,
  "dos_at_fermi_per_ev_fu": 2.79,
  "sg": "No. 164"
}